Here is Co2ReCl after structural relaxation from Alexandria via LeMat-Bulk. Energies are from PBE.

abc: 4.2188 4.2188 4.2188
angles: 60.00 60.00 60.00
Atoms (fractional coordinates):
1 Re 0.5000 0.5000 0.5000
2 Co 0.2500 0.2500 0.2500
3 Co 0.7500 0.7500 0.7500
4 Cl 0.0000 0.0000 0.0000

Computed properties:
- Offset from the most stable computed form: 0.883 eV per atom
- Raw formation energy: 1.144 eV per atom


Here is Co2ReCl after structural relaxation from Alexandria via LeMat-Bulk. Energies are from PBE.

abc: 2.7631 2.7631 6.9662
angles: 90.00 90.00 90.00
Atoms (fractional coordinates):
1 Re 0.5000 0.5000 0.2500
2 Co 0.0000 0.0000 0.0072
3 Co 0.0000 0.0000 0.4928
4 Cl 0.5000 0.5000 0.7500

Computed properties:
- Offset from the most stable computed form: 0.108 eV per atom
- Raw formation energy: 0.370 eV per atom


Here is Co2ReCl after structural relaxation from Alexandria via LeMat-Bulk. Energies are from PBE.

abc: 8.0933 8.0933 8.0933
angles: 19.92 19.92 19.92
Atoms (fractional coordinates):
1 Re 0.5024 0.5024 0.5024
2 Co 0.9981 0.9981 0.9981
3 Co 0.2526 0.2526 0.2526
4 Cl 0.7470 0.7470 0.7470

Computed properties:
- Offset from the most stable computed form: 0.239 eV per atom
- Raw formation energy: 0.501 eV per atom


Here is CoReCl after structural relaxation from Alexandria via LeMat-Bulk. Energies are from PBE.

abc: 4.0473 4.0473 4.0473
angles: 60.00 60.00 60.00
Atoms (fractional coordinates):
1 Re 0.2500 0.2500 0.2500
2 Co 0.5000 0.5000 0.5000
3 Cl 0.0000 0.0000 0.0000

Computed properties:
- Offset from the most stable computed form: 0.611 eV per atom
- Raw formation energy: 1.059 eV per atom


Number 1: spin magnetization 0.5 μB per formula unit. Number 2: spin magnetization 1.7 μB per formula unit. Number 3: spin magnetization 3.5 μB per formula unit. Number 4: spin magnetization 0.0 μB per formula unit.